[1]
5
Lattice="4.039 0.000 0.000 0.000 4.039 0.000 0.000 0.000 4.039" Properties=species:S:1:pos:R:3 comment="RbNi3H | Alexandria | PBE | relaxed" dos_at_fermi_per_ev_cell=7.042 volume_a3_per_atom=13.18 e_above_lowest_polymorph_mev_per_atom=0 magnetic_moment_mub_per_cell=0.62 pbc="T T T"
H 0.000 0.000 0.000
Ni 0.000 0.000 2.020
Ni 0.000 2.020 0.000
Ni 2.020 0.000 0.000
Rb 2.020 2.020 2.020

[2]
8
Lattice="-5.218 -0.650 -2.870 -0.718 -5.385 2.525 1.013 4.761 3.334" Properties=species:S:1:pos:R:3 comment="Rb2NiH5 | Alexandria | PBE | relaxed" dos_at_fermi_per_ev_cell=0.690 dft_energy_ev_per_atom=-3.177 volume_a3_per_atom=18.42 magnetic_moment_mub_per_cell=1.01 pbc="T T T"
H -0.515 0.228 4.880
H -0.056 3.669 3.267
H -3.849 -0.187 3.047
H -4.123 -1.988 1.695
H -3.390 3.253 1.434
Rb -3.584 0.544 0.142
Rb -1.334 -1.823 2.839
Ni -4.866 -1.325 2.897

[3]
12
Lattice="6.646 0.000 0.000 0.000 9.592 0.000 -3.323 -4.796 5.987" Properties=species:S:1:pos:R:3 comment="Rb2NiHS2 | Alexandria | PBE | relaxed" dos_at_fermi_per_ev_cell=6.222 dft_energy_ev_per_atom=-3.656 volume_a3_per_atom=31.80 magnetic_moment_mub_per_cell=2.03 pbc="T T T"
S 3.323 -0.138 4.563
S 0.000 0.138 4.563
S 3.323 4.658 1.424
S 0.000 4.934 1.424
Rb 3.323 3.206 4.499
Rb 0.000 -3.206 4.499
Rb 3.323 8.002 1.488
Rb 0.000 1.590 1.488
Ni 4.985 4.796 0.000
Ni 1.662 4.796 0.000
H 1.662 0.000 0.000
H 4.985 0.000 0.000